(1)
First-principles (PBE with a Hubbard U) data for crystalline TlCrO4F at its relaxed geometry, as listed in the Alexandria database.

Unit cell a=5.720 b=5.720 c=8.426 alpha=110.80 beta=110.80 gamma=77.17
Atoms (fractional coordinates):
Tl1 0.178 0.178 0.209
Tl2 0.822 0.822 0.791
Cr1 0.356 0.356 0.696
Cr2 0.644 0.644 0.304
O1 0.146 0.522 0.801
O2 0.205 0.205 0.485
O3 0.459 0.459 0.302
O4 0.478 0.854 0.199
O5 0.522 0.146 0.801
O6 0.541 0.541 0.698
O7 0.795 0.795 0.515
O8 0.854 0.478 0.199
F1 0.105 0.105 0.921
F2 0.895 0.895 0.079

**Raw total energy**: -0.207 hartree per atom
**N(E_F)**: 0.0000 states/eV per atom


(2)
First-principles (PBE with a Hubbard U) data for crystalline Pr2TiMnO6 at its relaxed geometry, as listed in the Alexandria database.

Unit cell a=5.394 b=5.394 c=4.924 alpha=90.00 beta=90.00 gamma=90.00
Atoms (fractional coordinates):
Pr1 0.000 0.500 0.000
Pr2 0.500 0.000 0.000
Ti1 0.000 0.000 0.580
Mn1 0.500 0.500 0.560
O1 0.000 0.000 0.207
O2 0.238 0.238 0.710
O3 0.238 0.762 0.710
O4 0.500 0.500 0.148
O5 0.762 0.238 0.710
O6 0.762 0.762 0.710

**Raw total energy**: -0.306 hartree per atom
**N(E_F)**: 0.0000 states/eV per atom